Cs2U2PbS7, relaxed, DFT PBE-GGA; formation energy from raw total energies = -13.59 eV per formula unit; E_tot = -5.87 eV/atom
1.0
-2.6229 2.6229 13.7766
2.6229 -2.6229 13.7766
2.6229 2.6229 -13.7766
Cs U Pb S
2 2 1 7
Cartesian
0.0000 0.0000 5.1010
0.0000 0.0000 22.4522
0.0000 0.0000 11.2253
0.0000 0.0000 16.3279
0.0000 0.0000 0.0000
2.6229 0.0000 2.2423
0.0000 0.0000 8.7512
2.6229 0.0000 11.5343
0.0000 0.0000 13.7766
0.0000 2.6229 2.2423
0.0000 0.0000 18.8020
0.0000 2.6229 11.5343